VASP calculation (PBE) on a relaxed NbMoSeBr2 crystal.

Computed properties:
polymorph energy (0 for the lowest one) = 405.2 meV per atom
SG = P4/mmm, No. 123
formation energy from raw total energies = 0.99 eV per atom

```
5
Lattice="5.085 0.000 0.000 0.000 5.085 0.000 0.000 0.000 5.026" Properties=species:S:1:pos:R:3 pbc="T T T"
Nb 2.543 2.543 2.513
Br 2.543 0.000 0.000
Mo 0.000 0.000 0.000
Se 0.000 0.000 2.513
Br 0.000 2.543 0.000
```

VASP calculation (PBE) on a relaxed NbMoSeBr2 crystal.

Computed properties:
polymorph energy (0 for the lowest one) = 0.0 meV per atom
SG = P4/mmm, No. 123
formation energy from raw total energies = 0.58 eV per atom

```
5
Lattice="5.314 0.000 0.000 0.000 5.314 0.000 0.000 0.000 5.029" Properties=species:S:1:pos:R:3 pbc="T T T"
Br 0.000 2.657 0.000
Nb 0.000 0.000 0.000
Mo 2.657 2.657 2.514
Br 2.657 0.000 0.000
Se 0.000 0.000 2.514
```

VASP calculation (PBE) on a relaxed NbSi2MoBr crystal.

Computed properties:
SG = P4/mmm, No. 123
formation energy from raw total energies = 0.72 eV per atom

```
5
Lattice="4.727 0.000 0.000 0.000 5.034 0.000 0.000 0.000 4.727" Properties=species:S:1:pos:R:3 pbc="T T T"
Mo 0.000 0.000 0.000
Si 0.000 0.000 2.364
Br 2.364 2.517 2.364
Nb 0.000 2.517 0.000
Si 2.364 0.000 0.000
```